Record 1
An optimized crystal structure of MoHS. Source: the Alexandria database, functional PBE.

Output
V: 47.5 Å³/f.u.
DFT total energy: -6.49 eV/atom
mass density: 4.5 g cm⁻³
space group: P-1

Cell lengths 3.0799, 4.8570, 6.5717 Å; angles 104.97, 90.51, 90.01 degrees
Sites, in units of the cell vectors:
Mo (0.2503, 0.2404, 0.0133)
Mo (0.7497, 0.7596, 0.9867)
H (0.2527, 0.6464, 0.1427)
H (0.7473, 0.3536, 0.8573)
S (0.2448, 0.8265, 0.7287)
S (0.7552, 0.1735, 0.2713)

=====

Record 2
An optimized crystal structure of Mo2HS. Source: the Alexandria database, functional PBE.

Output
V: 47.5 Å³/f.u.
DFT total energy: -6.86 eV/atom
mass density: 7.9 g cm⁻³
space group: Fm-3m

Cell lengths 4.0644, 4.0644, 4.0644 Å; angles 60.00, 60.00, 60.00 degrees
Sites, in units of the cell vectors:
Mo (0.2500, 0.2500, 0.2500)
Mo (0.7500, 0.7500, 0.7500)
H (0.0000, 0.0000, 0.0000)
S (0.5000, 0.5000, 0.5000)

=====

Record 3
An optimized crystal structure of MoHS3. Source: the Alexandria database, functional PBE.

Output
V: 102.2 Å³/f.u.
DFT total energy: -4.85 eV/atom
mass density: 3.1 g cm⁻³
space group: Pm-3m

Cell lengths 4.6752, 4.6752, 4.6752 Å; angles 90.00, 90.00, 90.00 degrees
Sites, in units of the cell vectors:
Mo (0.0000, 0.0000, 0.0000)
H (0.5000, 0.5000, 0.5000)
S (0.0000, 0.0000, 0.5000)
S (0.0000, 0.5000, 0.0000)
S (0.5000, 0.0000, 0.0000)

=====

Record 4
An optimized crystal structure of MoHS. Source: the Alexandria database, functional PBE.

Output
V: 55.4 Å³/f.u.
DFT total energy: -6.38 eV/atom
mass density: 3.9 g cm⁻³
space group: C2/m

Cell lengths 8.4327, 8.4327, 5.3614 Å; angles 94.85, 94.85, 142.90 degrees
Sites, in units of the cell vectors:
Mo (0.0111, 0.4888, 0.2500)
Mo (0.4888, 0.0111, 0.2500)
Mo (0.5112, 0.9889, 0.7500)
Mo (0.9889, 0.5112, 0.7500)
H (0.0115, 0.0115, 0.9338)
H (0.4794, 0.4794, 0.4273)
H (0.5206, 0.5206, 0.5727)
H (0.9885, 0.9885, 0.0662)
S (0.1528, 0.8472, 0.5000)
S (0.3472, 0.6528, 0.0000)
S (0.6528, 0.3472, 0.0000)
S (0.8472, 0.1528, 0.5000)

=====

Record 5
An optimized crystal structure of MoH2S. Source: the Alexandria database, functional PBE.

Output
V: 36.1 Å³/f.u.
DFT total energy: -4.63 eV/atom
mass density: 6.0 g cm⁻³
space group: R-3m

Cell lengths 4.5720, 4.5720, 4.5720 Å; angles 40.32, 40.32, 40.32 degrees
Sites, in units of the cell vectors:
Mo (0.0000, 0.0000, 0.0000)
H (0.1403, 0.1403, 0.1403)
H (0.8597, 0.8597, 0.8597)
S (0.5000, 0.5000, 0.5000)

=====

Record 6
An optimized crystal structure of MoH2S. Source: the Alexandria database, functional PBE.

Output
V: 41.2 Å³/f.u.
DFT total energy: -5.10 eV/atom
mass density: 5.2 g cm⁻³
space group: I-42d

Cell lengths 4.8152, 4.8152, 4.8152 Å; angles 103.22, 103.22, 122.86 degrees
Sites, in units of the cell vectors:
Mo (0.0000, 0.0000, 0.0000)
Mo (0.7500, 0.2500, 0.5000)
H (0.0344, 0.1250, 0.4094)
H (0.3750, 0.9656, 0.0906)
H (0.7156, 0.6250, 0.5906)
H (0.8750, 0.2844, 0.9094)
S (0.2500, 0.7500, 0.5000)
S (0.5000, 0.5000, 0.0000)

=====

Record 7
An optimized crystal structure of MoHS. Source: the Alexandria database, functional PBE.

Output
V: 33.8 Å³/f.u.
DFT total energy: -6.03 eV/atom
mass density: 6.3 g cm⁻³
space group: I4mm

Cell lengths 4.4841, 4.4841, 4.4841 Å; angles 142.11, 142.11, 54.66 degrees
Sites, in units of the cell vectors:
Mo (0.0000, 0.0000, 0.0000)
H (0.4077, 0.4077, 0.0000)
S (0.6806, 0.6806, 0.0000)

=====

Record 8
An optimized crystal structure of Mo2HS. Source: the Alexandria database, functional PBE.

Output
V: 54.9 Å³/f.u.
DFT total energy: -7.08 eV/atom
mass density: 6.8 g cm⁻³
space group: I-42d

Cell lengths 6.0470, 6.0470, 6.0470 Å; angles 134.76, 134.76, 65.91 degrees
Sites, in units of the cell vectors:
Mo (0.0311, 0.6250, 0.9061)
Mo (0.3750, 0.2811, 0.4061)
Mo (0.7189, 0.1250, 0.0939)
Mo (0.8750, 0.9689, 0.5939)
H (0.0000, 0.0000, 0.0000)
H (0.7500, 0.2500, 0.5000)
S (0.2500, 0.7500, 0.5000)
S (0.5000, 0.5000, 0.0000)

=====

Record 9
An optimized crystal structure of MoHS3. Source: the Alexandria database, functional PBE.

Output
V: 65.1 Å³/f.u.
DFT total energy: -4.30 eV/atom
mass density: 4.9 g cm⁻³
space group: Pm-3m

Cell lengths 4.0220, 4.0220, 4.0220 Å; angles 90.00, 90.00, 90.00 degrees
Sites, in units of the cell vectors:
Mo (0.0000, 0.0000, 0.0000)
H (0.5000, 0.5000, 0.5000)
S (0.0000, 0.5000, 0.5000)
S (0.5000, 0.0000, 0.5000)
S (0.5000, 0.5000, 0.0000)

=====

Record 10
An optimized crystal structure of MoH2S. Source: the Alexandria database, functional PBE.

Output
V: 37.0 Å³/f.u.
DFT total energy: -4.55 eV/atom
mass density: 5.8 g cm⁻³
space group: Fm-3m

Cell lengths 3.7393, 3.7393, 3.7393 Å; angles 60.00, 60.00, 60.00 degrees
Sites, in units of the cell vectors:
Mo (0.0000, 0.0000, 0.0000)
H (0.2500, 0.2500, 0.2500)
H (0.7500, 0.7500, 0.7500)
S (0.5000, 0.5000, 0.5000)

=====

Record 11
An optimized crystal structure of Sc2MoHS. Source: the Alexandria database, functional PBE.

Output
V: 73.2 Å³/f.u.
DFT total energy: -6.61 eV/atom
mass density: 5.0 g cm⁻³
space group: P4/mmm

Cell lengths 4.5713, 4.5713, 3.5041 Å; angles 90.00, 90.00, 90.00 degrees
Sites, in units of the cell vectors:
Sc (0.0000, 0.5000, 0.0000)
Sc (0.5000, 0.0000, 0.0000)
Mo (0.0000, 0.0000, 0.5000)
H (0.0000, 0.0000, 0.0000)
S (0.5000, 0.5000, 0.5000)

=====

Record 12
An optimized crystal structure of SrMoHS2. Source: the Alexandria database, functional PBE.

Output
V: 85.6 Å³/f.u.
DFT total energy: -5.07 eV/atom
mass density: 4.8 g cm⁻³
space group: P4/mmm

Cell lengths 4.9427, 4.9427, 3.5048 Å; angles 90.00, 90.00, 90.00 degrees
Sites, in units of the cell vectors:
Sr (0.0000, 0.0000, 0.0000)
Mo (0.5000, 0.5000, 0.0000)
H (0.5000, 0.5000, 0.5000)
S (0.0000, 0.5000, 0.5000)
S (0.5000, 0.0000, 0.5000)

=====

Record 13
An optimized crystal structure of TeMoH2S. Source: the Alexandria database, functional PBE.

Output
V: 74.0 Å³/f.u.
DFT total energy: -4.57 eV/atom
mass density: 5.8 g cm⁻³
space group: P4/mmm

Cell lengths 3.6357, 3.6357, 5.6003 Å; angles 90.00, 90.00, 90.00 degrees
Sites, in units of the cell vectors:
Te (0.0000, 0.0000, 0.0000)
Mo (0.0000, 0.0000, 0.5000)
H (0.0000, 0.5000, 0.0000)
H (0.5000, 0.0000, 0.0000)
S (0.5000, 0.5000, 0.5000)

=====

Record 14
An optimized crystal structure of TlMoH2S. Source: the Alexandria database, functional PBE.

Output
V: 88.4 Å³/f.u.
DFT total energy: -4.12 eV/atom
mass density: 6.3 g cm⁻³
space group: P4/mmm

Cell lengths 3.7433, 3.7433, 6.3080 Å; angles 90.00, 90.00, 90.00 degrees
Sites, in units of the cell vectors:
Tl (0.0000, 0.0000, 0.0000)
Mo (0.5000, 0.5000, 0.5000)
H (0.0000, 0.5000, 0.0000)
H (0.5000, 0.0000, 0.0000)
S (0.0000, 0.0000, 0.5000)